Here is an optimized crystal structure of Li2AlNi3O6 from Alexandria. Energies are from PBE+U.

Cell lengths 5.0314, 5.0314, 9.7159 Å; angles 94.82, 94.82, 119.42 degrees
With the nearest neighbours (Å) after each atom.
Sites, in units of the cell vectors:
Li: 0.0757 0.4320 0.7537  6 O 2.09-2.27
Li: 0.2450 0.2450 0.2462  6 O 2.05-2.27
Li: 0.5680 0.9243 0.2463  6 O 2.09-2.27
Li: 0.7550 0.7550 0.7538  6 O 2.05-2.27
Al: 0.4949 0.5051 0.0000  6 O 1.91-1.95
Al: 0.9992 0.0008 0.5000  6 O 1.91-1.96
Ni: 0.1638 0.8362 0.0000  6 O 2.05-2.10
Ni: 0.3297 0.6703 0.5000  6 O 2.06-2.09
Ni: 0.4183 0.0857 0.7521  6 O 2.05-2.17
Ni: 0.6656 0.3345 0.5000  6 O 1.93-2.13
Ni: 0.8321 0.1679 0.0000  6 O 2.05-2.07
Ni: 0.9143 0.5817 0.2479  6 O 2.05-2.17
O: 0.0440 0.7390 0.6203  1 Al 1.91, 1 Li 2.05, 3 Ni 2.05-2.13
O: 0.1546 0.1564 0.8853  1 Al 1.91, 3 Ni 2.05-2.07, 1 Li 2.11
O: 0.2115 0.5376 0.1170  1 Al 1.95, 3 Ni 2.05-2.12, 2 Li 2.07-2.09
O: 0.2610 0.9560 0.3797  1 Al 1.91, 1 Li 2.05, 3 Ni 2.05-2.13
O: 0.3650 0.3481 0.6082  1 Al 1.94, 3 Ni 1.94-2.09
O: 0.4624 0.7885 0.8830  1 Al 1.95, 3 Ni 2.05-2.12, 2 Li 2.07-2.09
O: 0.5409 0.2312 0.1171  1 Al 1.94, 2 Li 2.05-2.12, 3 Ni 2.05-2.10
O: 0.6519 0.6350 0.3918  1 Al 1.94, 3 Ni 1.94-2.09
O: 0.7192 0.0590 0.6115  2 Ni 1.93-2.09, 1 Al 1.96, 1 Li 2.12
O: 0.7688 0.4591 0.8829  1 Al 1.94, 2 Li 2.05-2.12, 3 Ni 2.05-2.10
O: 0.8436 0.8454 0.1147  1 Al 1.91, 3 Ni 2.05-2.07, 1 Li 2.11
O: 0.9410 0.2808 0.3885  2 Ni 1.93-2.09, 1 Al 1.96, 1 Li 2.12

Summary:
size of the total moment: 5.00 μB/f.u.
density: 4.9 g/cm3
final energy: -5.43 eV per atom
crystal system: monoclinic